[1]
Computed, not measured: crystalline Ag4Te5Cl at its relaxed geometry at the PBE-GGA level of DFT.

Cell lengths 8.334, 13.019, 5.479 Å; angles 90.00, 90.00, 90.00 degrees
Space group Pmmn (No. 59, origin choice 2)
Symmetry-distinct sites (fractional):
Ag 0.043 0.250 0.061
Ag 0.250 0.545 0.512
Te 0.018 0.065 0.802
Te 0.250 0.750 0.702
Cl 0.250 0.250 0.411

Values from the calculation:
* formation energy (no corrections): -67 meV/atom

[2]
Computed, not measured: crystalline LaNpBi2 at its relaxed geometry at the PBE-GGA level of DFT.

Cell lengths 5.990, 5.990, 3.408 Å; angles 90.00, 90.00, 90.00 degrees
Space group P4/mmm (No. 123)
Symmetry-distinct sites (fractional):
La 0.000 0.000 0.000
Np 0.500 0.500 0.000
Bi 0.000 0.500 0.500

Values from the calculation:
* energy relative to the lowest polymorph listed for this composition: 35 kJ/mol of formula units
* energy of formation from the pure elements: -0.363 eV/atom

[3]
Computed, not measured: crystalline TaCrSn2Br at its relaxed geometry at the PBE-GGA level of DFT.

Cell lengths 5.485, 5.485, 4.975 Å; angles 90.00, 90.00, 90.00 degrees
Space group P4/mmm (No. 123)
Symmetry-distinct sites (fractional):
Ta 0.000 0.000 0.000
Cr 0.500 0.500 0.500
Sn 0.000 0.500 0.000
Br 0.000 0.000 0.500

Values from the calculation:
* formation energy (no corrections): 781 meV/atom

[4]
Computed, not measured: crystalline Pm8Al2Ni at its relaxed geometry at the PBE-GGA level of DFT.

Cell lengths 18.660, 5.098, 6.803 Å; angles 90.00, 102.85, 90.00 degrees
Space group C2/m (No. 12)
Symmetry-distinct sites (fractional):
Pm 0.018 0.000 0.280
Pm 0.093 0.500 0.959
Pm 0.149 0.500 0.473
Pm 0.209 0.000 0.799
Al 0.187 0.000 0.247
Ni 0.000 0.500 0.500

Values from the calculation:
* energy of formation from the pure elements: -0.165 eV/atom

[5]
Computed, not measured: crystalline NbNiPd2 at its relaxed geometry at the PBE-GGA level of DFT.

Cell lengths 6.225, 6.225, 6.225 Å; angles 90.00, 90.00, 90.00 degrees
Space group Fm-3m (No. 225)
Symmetry-distinct sites (fractional):
Nb 0.000 0.000 0.000
Ni 0.000 0.000 0.500
Pd 0.250 0.250 0.250

Values from the calculation:
* energy relative to the lowest polymorph listed for this composition: 89 kJ/mol of formula units
* energy of formation from the pure elements: -0.126 eV/atom

[6]
Computed, not measured: crystalline HfCr2SnTe6 at its relaxed geometry at the PBE-GGA level of DFT.

Cell lengths 7.277, 7.278, 7.622 Å; angles 90.03, 118.48, 119.97 degrees
Space group P1 (No. 1)
Symmetry-distinct sites (fractional):
Hf 0.000 0.000 0.000
Cr 0.361 0.681 0.041
Cr 0.367 0.184 0.551
Sn 0.982 0.491 0.473
Te 0.213 0.285 0.789
Te 0.235 0.422 0.282
Te 0.469 0.047 0.281
Te 0.505 0.928 0.789
Te 0.860 0.813 0.282
Te 0.861 0.577 0.789

Values from the calculation:
* formation energy (no corrections): -289 meV/atom

[7]
Computed, not measured: crystalline CrRh3 at its relaxed geometry at the PBE-GGA level of DFT.

Cell lengths 2.690, 2.690, 7.512 Å; angles 90.00, 90.00, 90.00 degrees
Space group P4/mmm (No. 123)
Symmetry-distinct sites (fractional):
Cr 0.000 0.000 0.000
Rh 0.000 0.000 0.500
Rh 0.500 0.500 0.234

Values from the calculation:
* energy of formation from the pure elements: -0.036 eV/atom

[8]
Computed, not measured: crystalline BeFeI3 at its relaxed geometry at the PBE-GGA level of DFT.

Cell lengths 5.267, 5.267, 5.267 Å; angles 90.00, 90.00, 90.00 degrees
Space group Pm-3m (No. 221)
Symmetry-distinct sites (fractional):
Be 0.000 0.000 0.000
Fe 0.500 0.500 0.500
I 0.000 0.500 0.500

Values from the calculation:
* energy relative to the lowest polymorph listed for this composition: 114 kJ/mol of formula units
* formation energy (no corrections): 876 meV/atom

[9]
Computed, not measured: crystalline Tb2Y4TmSc2 at its relaxed geometry at the PBE-GGA level of DFT.

Cell lengths 16.791, 3.483, 9.497 Å; angles 90.00, 100.63, 90.00 degrees
Space group C2/m (No. 12)
Symmetry-distinct sites (fractional):
Tb 0.157 0.000 0.091
Y 0.013 0.500 0.823
Y 0.176 0.000 0.730
Tm 0.000 0.000 0.500
Sc 0.167 0.500 0.422

Values from the calculation:
* energy of formation from the pure elements: 0.049 eV/atom

[10]
Computed, not measured: crystalline V3CrRu at its relaxed geometry at the PBE-GGA level of DFT.

Cell lengths 5.1807, 5.1807, 17.8935 Å; angles 90.00, 90.00, 120.00 degrees
Space group R32 (No. 155, hexagonal axes)
Symmetry-distinct sites (fractional):
V 0.0076 0.4808 0.3909
Cr 0.0000 0.0000 0.1667
Ru 0.0000 0.0000 0.4250

Values from the calculation:
* energy relative to the lowest polymorph listed for this composition: 95 kJ/mol of formula units
* energy of formation from the pure elements: 0.326 eV/atom

| no. | DOS(E_F) (states/eV per atom) |
| --- | --- |
| 1 | 0.60 |
| 2 | 3.19 |
| 3 | 0.79 |
| 4 | 0.98 |
| 5 | 1.86 |
| 6 | 0.42 |
| 7 | 1.70 |
| 8 | 1.78 |
| 9 | 1.61 |
| 10 | 1.35 |